(1)
Entry from Alexandria via LeMat-Bulk: crystalline Zn2Ga2Au at its relaxed geometry (PBE).

Cell lengths 6.742, 6.742, 6.742 Å; angles 147.11, 147.11, 47.20 degrees
Atoms (fractional coordinates):
Zn1 0.250 0.750 0.500
Zn2 0.750 0.250 0.500
Ga1 0.100 0.100 0.000
Ga2 0.900 0.900 0.000
Au1 0.500 0.500 0.000

Results
* formation energy: 0.479 eV/f.u.
* polymorph energy (0 for the lowest one): 94 meV/atom
* space group: I4/mmm, No. 139

(2)
Entry from Alexandria via LeMat-Bulk: crystalline TiOsRuS at its relaxed geometry (PBE).

Cell lengths 2.919, 2.919, 7.470 Å; angles 100.88, 100.88, 89.98 degrees
Atoms (fractional coordinates):
Ti1 0.000 0.000 0.000
Os1 0.340 0.340 0.720
Ru1 0.736 0.736 0.501
S1 0.585 0.585 0.180

Results
* polymorph energy (0 for the lowest one): 3 meV/atom
* space group: Cm, No. 8

(3)
Entry from Alexandria via LeMat-Bulk: crystalline HfCuBi at its relaxed geometry (PBE).

Cell lengths 14.072, 14.072, 14.072 Å; angles 166.94, 166.94, 18.51 degrees
Atoms (fractional coordinates):
Hf1 0.169 0.169 0.000
Hf2 0.831 0.831 0.000
Cu1 0.272 0.272 0.000
Cu2 0.728 0.728 0.000
Bi1 0.416 0.416 0.000
Bi2 0.584 0.584 0.000

Results
* formation energy: -0.361 eV/f.u.
* space group: I4/mmm, No. 139

(4)
Entry from Alexandria via LeMat-Bulk: crystalline Sr3Dy2PuN6 at its relaxed geometry (PBE).

Cell lengths 6.126, 6.126, 6.333 Å; angles 99.29, 99.29, 120.02 degrees
Atoms (fractional coordinates):
Sr1 0.000 0.000 0.000
Sr2 0.332 0.668 0.000
Sr3 0.668 0.332 0.000
Dy1 0.167 0.833 0.500
Dy2 0.833 0.167 0.500
Pu1 0.500 0.500 0.500
N1 0.124 0.432 0.295
N2 0.263 0.263 0.702
N3 0.432 0.124 0.295
N4 0.568 0.876 0.705
N5 0.737 0.737 0.298
N6 0.876 0.568 0.705

Results
* space group: C2/m, No. 12

Respective mass density values: 8.62, 10.05, 10.53, 7.81 Mg/m³.
Respective M_tot values: 0.00, 0.00, 0.00, 2.00 μB/f.u..
Respective raw total energy values: -0.168, -0.622, -0.448, -0.565 Ry/atom.